# 1
The following is a PBE-GGA calculation of a geometry-optimized LiScN2F structure, from the Alexandria database.

Space-group type: No. 123
Formation energy without anion corrections: -0.38 eV/atom
Total moment: 0.00 μB/f.u.
Calculated total energy: -5.737 eV/atom
E above lowest polymorph: 134.6 meV/atom

Structure (extended XYZ):
```
5
Lattice="3.5433 0.0000 0.0000 0.0000 3.5433 0.0000 0.0000 0.0000 3.7319" Properties=species:S:1:pos:R:3 pbc="T T T"
Li 0.0000 0.0000 0.0000
Sc 1.7717 1.7717 1.8660
N 0.0000 1.7717 0.0000
N 1.7717 0.0000 0.0000
F 0.0000 0.0000 1.8660
```

=====

# 2
The following is a PBE-GGA calculation of a geometry-optimized Np4CuRh12 structure, from the Alexandria database.

Space-group type: No. 229
Total moment: 6.16 μB/f.u.
Calculated total energy: -8.741 eV/atom

Structure (extended XYZ):
```
17
Lattice="-4.1327 4.1327 4.1327 4.1327 -4.1327 4.1327 4.1327 4.1327 -4.1327" Properties=species:S:1:pos:R:3 pbc="T T T"
Np 2.0664 2.0664 -2.0664
Np 2.0664 -2.0664 2.0664
Np -2.0664 2.0664 2.0664
Np 2.0664 2.0664 2.0664
Cu 0.0000 0.0000 0.0000
Rh 2.3792 0.0000 0.0000
Rh 5.8862 0.0000 0.0000
Rh 4.1327 2.0664 0.0000
Rh 4.1327 0.0000 2.0664
Rh 0.0000 2.3792 0.0000
Rh 0.0000 0.0000 2.3792
Rh 2.0664 4.1327 0.0000
Rh 2.0664 0.0000 4.1327
Rh 0.0000 5.8862 0.0000
Rh 0.0000 0.0000 5.8862
Rh 0.0000 4.1327 2.0664
Rh 0.0000 2.0664 4.1327
```

=====

# 3
The following is a PBE-GGA calculation of a geometry-optimized RbNa2MgAl structure, from the Alexandria database.

Space-group type: No. 123
Total moment: 0.00 μB/f.u.
Calculated total energy: -1.606 eV/atom

Structure (extended XYZ):
```
5
Lattice="6.0436 0.0000 0.0000 0.0000 6.0436 0.0000 0.0000 0.0000 5.3775" Properties=species:S:1:pos:R:3 pbc="T T T"
Rb 0.0000 0.0000 0.0000
Na 0.0000 3.0218 2.6887
Na 3.0218 0.0000 2.6887
Mg 3.0218 3.0218 0.0000
Al 3.0218 3.0218 2.6887
```

=====

# 4
The following is a PBE-GGA calculation of a geometry-optimized SiP2WS structure, from the Alexandria database.

Space-group type: No. 123
Formation energy without anion corrections: 1.10 eV/atom
Total moment: 2.20 μB/f.u.
Calculated total energy: -5.561 eV/atom
E above lowest polymorph: 367.5 meV/atom

Structure (extended XYZ):
```
5
Lattice="4.4097 0.0000 0.0000 0.0000 4.4097 0.0000 0.0000 0.0000 4.4124" Properties=species:S:1:pos:R:3 pbc="T T T"
Si 0.0000 0.0000 0.0000
P 0.0000 2.2048 0.0000
P 2.2048 0.0000 0.0000
W 2.2048 2.2048 2.2062
S 0.0000 0.0000 2.2062
```

=====

# 5
The following is a PBE-GGA calculation of a geometry-optimized Li2Hg2S structure, from the Alexandria database.

Space-group type: No. 127
Formation energy without anion corrections: -0.55 eV/atom
Total moment: 0.00 μB/f.u.
Calculated total energy: -2.264 eV/atom

Structure (extended XYZ):
```
10
Lattice="6.4892 0.0000 0.0000 0.0000 6.4892 0.0000 0.0000 0.0000 6.1021" Properties=species:S:1:pos:R:3 pbc="T T T"
Li 1.5162 1.7284 0.0000
Li 1.7284 4.9730 0.0000
Li 4.7608 1.5162 0.0000
Li 4.9730 4.7608 0.0000
Hg 1.1850 4.4296 3.0511
Hg 2.0596 1.1850 3.0511
Hg 4.4296 5.3042 3.0511
Hg 5.3042 2.0596 3.0511
S 0.0000 0.0000 0.0000
S 3.2446 3.2446 0.0000
```

=====

# 6
The following is a PBE-GGA calculation of a geometry-optimized LaBe2Au6 structure, from the Alexandria database.

Space-group type: No. 227
Total moment: 0.00 μB/f.u.
Calculated total energy: -3.800 eV/atom

Structure (extended XYZ):
```
18
Lattice="0.0000 5.6841 5.6841 5.6841 0.0000 5.6841 5.6841 5.6841 0.0000" Properties=species:S:1:pos:R:3 pbc="T T T"
La 1.4210 1.4210 1.4210
La 9.9473 9.9473 9.9473
Be 5.6841 2.8421 2.8421
Be 2.8421 5.6841 2.8421
Be 2.8421 2.8421 5.6841
Be 5.6841 5.6841 5.6841
Au 4.2631 4.2631 1.7086
Au 4.2631 1.7086 4.2631
Au 6.8176 4.2631 4.2631
Au 7.1052 7.1052 4.5507
Au 7.1052 4.5507 7.1052
Au 9.6597 7.1052 7.1052
Au 1.7086 4.2631 4.2631
Au 4.2631 6.8176 4.2631
Au 4.2631 4.2631 6.8176
Au 4.5507 7.1052 7.1052
Au 7.1052 9.6597 7.1052
Au 7.1052 7.1052 9.6597
```

=====

# 7
The following is a PBE-GGA calculation of a geometry-optimized La6Si2Br3O structure, from the Alexandria database.

Space-group type: No. 12
Formation energy without anion corrections: -1.43 eV/atom
Total moment: 0.00 μB/f.u.
Calculated total energy: -5.631 eV/atom

Structure (extended XYZ):
```
12
Lattice="3.5874 -6.2028 0.0000 3.5874 6.2028 0.0000 -2.3951 0.0000 7.5432" Properties=species:S:1:pos:R:3 pbc="T T T"
La 1.1019 1.9140 1.5105
La -0.1836 0.0000 6.0021
La 1.1019 -1.9140 1.5105
La 3.6778 1.9140 6.0327
La 4.9634 0.0000 1.5412
La 3.6778 -1.9140 6.0327
Si 3.5874 2.0523 0.0000
Si 3.5874 -2.0523 0.0000
Br 2.3899 4.0012 3.7716
Br 2.3899 0.0000 3.7716
Br 2.3899 -4.0012 3.7716
O 0.0000 0.0000 0.0000
```

=====

# 8
The following is a PBE-GGA calculation of a geometry-optimized CsGe2Te2 structure, from the Alexandria database.

Space-group type: No. 15
Formation energy without anion corrections: -0.22 eV/atom
Total moment: 0.00 μB/f.u.
Calculated total energy: -3.490 eV/atom
E above lowest polymorph: 55.0 meV/atom

Structure (extended XYZ):
```
10
Lattice="4.5232 -6.7852 0.0000 4.5232 6.7852 0.0000 -4.4953 0.0000 6.1359" Properties=species:S:1:pos:R:3 pbc="T T T"
Cs 1.1517 5.0972 4.6020
Cs 3.3994 -5.0972 1.5340
Ge 3.3924 1.7028 0.2538
Ge 3.4064 1.7028 2.8141
Ge 1.1447 -1.7028 3.3218
Ge 1.1587 -1.7028 5.8821
Te 3.3994 4.5346 1.5340
Te 1.1517 1.1729 4.6020
Te 3.3994 -1.1729 1.5340
Te 1.1517 -4.5346 4.6020
```

=====

# 9
The following is a PBE-GGA calculation of a geometry-optimized MnGaSe3 structure, from the Alexandria database.

Space-group type: No. 36
Formation energy without anion corrections: -0.51 eV/atom
Total moment: 4.02 μB/f.u.
Calculated total energy: -5.035 eV/atom

Structure (extended XYZ):
```
10
Lattice="1.9091 -10.3292 0.0000 1.9091 10.3292 0.0000 0.0000 0.0000 6.2692" Properties=species:S:1:pos:R:3 pbc="T T T"
Mn 1.9091 6.7509 3.1346
Mn 1.9091 -6.7509 0.0000
Ga 1.9091 2.6242 2.6968
Ga 1.9091 -2.6242 5.8315
Se 1.9091 8.8215 4.7953
Se 1.9091 4.7465 1.4065
Se 1.9091 2.3848 5.0869
Se 1.9091 -2.3848 1.9523
Se 1.9091 -4.7465 4.5411
Se 1.9091 -8.8215 1.6607
```

=====

# 10
The following is a PBE-GGA calculation of a geometry-optimized Nd5Y2Tm5 structure, from the Alexandria database.

Space-group type: No. 12
Total moment: 0.00 μB/f.u.
Calculated total energy: -4.905 eV/atom

Structure (extended XYZ):
```
12
Lattice="7.5872 -2.5272 0.0000 7.5872 2.5272 0.0000 -5.0803 0.0000 10.1761" Properties=species:S:1:pos:R:3 pbc="T T T"
Nd 0.0000 0.0000 0.0000
Nd -2.5178 0.0000 7.6402
Nd -0.0289 0.0000 5.0840
Nd 10.1230 0.0000 5.0921
Nd 12.6120 0.0000 2.5358
Y 2.5031 0.0000 7.6548
Y 7.5911 0.0000 2.5212
Tm 2.5262 0.0000 2.5164
Tm -0.0441 0.0000 10.1612
Tm 5.0471 0.0000 5.0880
Tm 10.1382 0.0000 0.0148
Tm 7.5680 0.0000 7.6597
```

=====

# 11
The following is a PBE-GGA calculation of a geometry-optimized Os4Ru5 structure, from the Alexandria database.

Space-group type: No. 139
Total moment: 0.00 μB/f.u.
Calculated total energy: -10.034 eV/atom
E above lowest polymorph: 0.0 meV/atom

Structure (extended XYZ):
```
9
Lattice="-4.0710 4.0710 1.9167 4.0710 -4.0710 1.9167 4.0710 4.0710 -1.9167" Properties=species:S:1:pos:R:3 pbc="T T T"
Os 2.7233 0.0000 0.0000
Os 5.4186 0.0000 0.0000
Os 0.0000 2.7233 0.0000
Os 0.0000 5.4186 0.0000
Ru 0.0000 0.0000 0.0000
Ru 2.7122 2.7122 0.0000
Ru 1.3587 -1.3587 1.9167
Ru -1.3587 1.3587 1.9167
Ru 1.3587 1.3587 1.9167
```

=====

# 12
The following is a PBE-GGA calculation of a geometry-optimized LiZn4Ag2 structure, from the Alexandria database.

Space-group type: No. 55
Total moment: 0.00 μB/f.u.
Calculated total energy: -1.862 eV/atom
E above lowest polymorph: 0.0 meV/atom

Structure (extended XYZ):
```
14
Lattice="6.7689 0.0000 0.0000 0.0000 11.8536 0.0000 0.0000 0.0000 2.7979" Properties=species:S:1:pos:R:3 pbc="T T T"
Li 0.0000 0.0000 0.0000
Li 3.3845 5.9268 0.0000
Zn 0.1086 2.6584 0.0000
Zn 1.5124 4.4826 1.3989
Zn 1.8720 10.4094 1.3989
Zn 3.2758 8.5852 0.0000
Zn 3.4931 3.2684 0.0000
Zn 4.8969 1.4442 1.3989
Zn 5.2565 7.3710 1.3989
Zn 6.6603 9.1952 0.0000
Ag 1.2529 7.1633 1.3989
Ag 2.1315 1.2365 1.3989
Ag 4.6374 10.6171 1.3989
Ag 5.5160 4.6903 1.3989
```